Record 1
Computed, not measured: LaMgTiFeO6 at its PBEsol-relaxed geometry at the meta-GGA SCAN level of DFT.

raw formation energy	-2.90	eV per atom

Cell lengths 5.2391, 5.3718, 7.4514 Å; angles 90.00, 90.28, 90.00 degrees
Last column: nearest neighbours and their distance in Å.
Positions (direct):
Fe (0.4993, 0.7511, 0.4997)  6 O 1.88-1.95
La (0.4934, 0.2174, 0.2493)  6 O 2.34-2.57
O (0.1988, 0.9511, 0.4458)  1 Fe 1.95, 1 Ti 1.98
O (0.6988, 0.0489, 0.9458)  1 Fe 1.95, 1 Ti 1.98
O (0.7618, 0.5189, 0.5465)  1 Fe 1.89, 1 Ti 1.92
Ti (0.5008, 0.7445, 0.0016)  6 O 1.92-2.00
O (0.2618, 0.4811, 0.0465)  1 Fe 1.89, 1 Ti 1.92
O (0.2729, 0.4874, 0.4552)  1 Fe 1.88, 1 Ti 1.93
O (0.1209, 0.2376, 0.7533)  1 Fe 1.95, 1 Ti 1.98, 1 Mg 2.14
O (0.9345, 0.2830, 0.2468)  1 Fe 1.88, 1 Ti 1.93
Mg (0.0246, 0.6993, 0.2483)  6 O 2.14-2.31
O (0.6209, 0.7624, 0.2533)  1 Fe 1.95, 1 Ti 1.98, 1 Mg 2.14
La (0.9934, 0.7826, 0.7493)  6 O 2.34-2.57
Fe (0.9993, 0.2489, 0.9997)  6 O 1.88-1.95
O (0.7729, 0.5126, 0.9552)  1 Fe 1.88, 1 Ti 1.93
O (0.1931, 0.9531, 0.0534)  1 Fe 1.93, 1 Ti 2.00
Mg (0.5246, 0.3007, 0.7483)  6 O 2.14-2.31
O (0.4345, 0.7170, 0.7468)  1 Fe 1.88, 1 Ti 1.93
Ti (0.0008, 0.2555, 0.5016)  6 O 1.92-2.00
O (0.6931, 0.0469, 0.5534)  1 Fe 1.93, 1 Ti 2.00


Record 2
Computed, not measured: Si2IrRu at its PBEsol-relaxed geometry at the meta-GGA SCAN level of DFT.

raw formation energy	-0.68	eV per atom

Cell lengths 2.8803, 4.2478, 4.5717 Å; angles 103.67, 108.36, 90.00 degrees
Last column: nearest neighbours and their distance in Å.
Positions (direct):
Si (0.0009, 0.0612, 0.0018)  3 Ru 2.44-2.46, 4 Ir 2.55-2.59
Si (0.2514, 0.6964, 0.5028)  3 Ir 2.43-2.49, 4 Ru 2.50-2.64
Ru (0.7382, 0.1708, 0.4765)  7 Si 2.44-2.64
Ir (0.5095, 0.5716, 0.0189)  7 Si 2.43-2.59


Record 3
Computed, not measured: GaCo2Ni at its PBEsol-relaxed geometry at the meta-GGA SCAN level of DFT.

ΔE_f	-0.08	eV/atom

Cell lengths 3.5403, 3.5403, 4.3040 Å; angles 114.29, 114.29, 90.00 degrees
Last column: nearest neighbours and their distance in Å.
Positions (direct):
Ga (0.0000, 0.0000, 0.0000)  8 Co 2.49, 4 Ni 2.50
Co (0.7500, 0.2500, 0.5000)  4 Ni 2.49, 4 Ga 2.49, 4 Co 2.50
Ni (0.5000, 0.5000, 0.0000)  8 Co 2.49, 4 Ga 2.50
Co (0.2500, 0.7500, 0.5000)  4 Ni 2.49, 4 Ga 2.49, 4 Co 2.50


For each record above, in turn, the calculated total energy values are -14.87 -32.17 -16.86 eV/atom.